{"formula": "KRb2PPd", "functional": "GGA-PBE", "state": "optimized geometry", "cell": [[6.786, 0.000, 0.000], [0.000, 6.786, 0.000], [0.000, 0.000, 4.531]], "species": ["K", "Rb", "Rb", "P", "Pd"], "fractional_positions": [[0.000, 0.000, 0.000], [0.000, 0.500, 0.500], [0.500, 0.000, 0.500], [0.500, 0.500, 0.000], [0.500, 0.500, 0.500]], "ef_ev_per_atom": -0.108, "total_magnetization_mub_per_fu": 0.00, "vol_a3_per_cell": 208.7, "total_energy_ev_per_cell": -14.18, "sg": "P4/mmm (123)"}

{"formula": "K2RbPPd", "functional": "GGA-PBE", "state": "optimized geometry", "cell": [[6.397, 0.000, 0.000], [0.000, 6.397, 0.000], [0.000, 0.000, 4.569]], "species": ["K", "K", "Rb", "P", "Pd"], "fractional_positions": [[0.000, 0.500, 0.000], [0.500, 0.000, 0.000], [0.000, 0.000, 0.500], [0.500, 0.500, 0.000], [0.500, 0.500, 0.500]], "ef_ev_per_atom": -0.151, "total_magnetization_mub_per_fu": 0.27, "vol_a3_per_cell": 186.9, "total_energy_ev_per_cell": -14.52, "sg": "P4/mmm (123)"}

{"formula": "KPPdRh", "functional": "GGA-PBE", "state": "optimized geometry", "cell": [[3.867, 0.000, 0.000], [0.000, 3.867, 0.000], [0.000, 0.000, 12.099]], "species": ["K", "K", "P", "P", "Pd", "Pd", "Rh", "Rh"], "fractional_positions": [[0.250, 0.250, 0.224], [0.750, 0.750, 0.776], [0.250, 0.250, 0.608], [0.750, 0.750, 0.392], [0.250, 0.750, 0.000], [0.750, 0.250, 0.000], [0.250, 0.750, 0.500], [0.750, 0.250, 0.500]], "ef_ev_per_atom": -0.391, "total_magnetization_mub_per_fu": 0.00, "vol_a3_per_cell": 180.9, "total_energy_ev_per_cell": -41.23, "sg": "P4/nmm (129)"}

{"formula": "K2P2PdS6", "functional": "GGA-PBE", "state": "optimized geometry", "cell": [[15.978, 0.000, 0.000], [0.000, 7.281, 0.000], [0.000, 0.000, 10.303]], "species": ["K", "K", "K", "K", "K", "K", "K", "K", "P", "P", "P", "P", "P", "P", "P", "P", "Pd", "Pd", "Pd", "Pd", "S", "S", "S", "S", "S", "S", "S", "S", "S", "S", "S", "S", "S", "S", "S", "S", "S", "S", "S", "S", "S", "S", "S", "S"], "fractional_positions": [[0.115, 0.250, 0.074], [0.183, 0.250, 0.594], [0.317, 0.750, 0.094], [0.385, 0.750, 0.574], [0.615, 0.250, 0.426], [0.683, 0.250, 0.906], [0.817, 0.750, 0.406], [0.885, 0.750, 0.926], [0.056, 0.750, 0.222], [0.167, 0.750, 0.355], [0.333, 0.250, 0.855], [0.444, 0.250, 0.722], [0.556, 0.750, 0.278], [0.667, 0.750, 0.145], [0.833, 0.250, 0.645], [0.944, 0.250, 0.778], [0.000, 0.000, 0.500], [0.000, 0.500, 0.500], [0.500, 0.000, 0.000], [0.500, 0.500, 0.000], [0.008, 0.015, 0.729], [0.008, 0.485, 0.729], [0.090, 0.750, 0.037], [0.092, 0.750, 0.529], [0.231, 0.517, 0.341], [0.231, 0.983, 0.341], [0.269, 0.017, 0.841], [0.269, 0.483, 0.841], [0.408, 0.250, 0.029], [0.410, 0.250, 0.537], [0.492, 0.515, 0.229], [0.492, 0.985, 0.229], [0.508, 0.015, 0.771], [0.508, 0.485, 0.771], [0.590, 0.750, 0.463], [0.592, 0.750, 0.971], [0.731, 0.517, 0.159], [0.731, 0.983, 0.159], [0.769, 0.017, 0.659], [0.769, 0.483, 0.659], [0.908, 0.250, 0.471], [0.910, 0.250, 0.963], [0.992, 0.515, 0.271], [0.992, 0.985, 0.271]], "total_magnetization_mub_per_fu": 0.00, "vol_a3_per_cell": 1198.6, "total_energy_ev_per_cell": -202.23, "sg": "Pnma (62)", "formation_energy_uncorrected_ev_per_atom": -0.69}